Entry 1:
{
  "formula": "Tb6PmSm8",
  "functional": "PBE",
  "state": "relaxed",
  "sg": "R-3",
  "formation_energy_ev_per_atom": 0.125,
  "e_tot_ev_per_atom": -4.561,
  "lattice_angstrom": [[-2.6202, -3.3075, -8.1047], [-4.0603, -8.1702, -0.5039], [-8.4266, -0.7920, -2.1033]],
  "species": ["Tb", "Tb", "Tb", "Tb", "Tb", "Tb", "Pm", "Sm", "Sm", "Sm", "Sm", "Sm", "Sm", "Sm", "Sm"],
  "frac_coords": [[0.4621, 0.8995, 0.8805], [0.1005, 0.2421, 0.1195], [0.2421, 0.5379, 0.1195], [0.7579, 0.4621, 0.8805], [0.8995, 0.7579, 0.8805], [0.5379, 0.1005, 0.1195], [0.0000, 0.0000, 0.0000], [0.2524, 0.2813, 0.5784], [0.7187, 0.1120, 0.4216], [0.1120, 0.7476, 0.4216], [0.5772, 0.5772, 0.2685], [0.4228, 0.4228, 0.7315], [0.8880, 0.2524, 0.5784], [0.2813, 0.8880, 0.5784], [0.7476, 0.7187, 0.4216]]
}

---

Entry 2:
{
  "formula": "Tb4PmSm8",
  "functional": "PBE",
  "state": "relaxed",
  "sg": "R-3m",
  "formation_energy_ev_per_atom": 0.181,
  "e_tot_ev_per_atom": -4.513,
  "lattice_angstrom": [[-5.4411, -4.8450, 1.0964], [4.5441, -0.8015, -5.7435], [7.7912, -1.6988, 6.4011]],
  "species": ["Tb", "Tb", "Tb", "Tb", "Pm", "Sm", "Sm", "Sm", "Sm", "Sm", "Sm", "Sm", "Sm"],
  "frac_coords": [[0.0000, 0.0000, 0.0000], [0.0000, 0.5000, 0.0000], [0.5000, 0.5000, 0.0000], [0.5000, 0.0000, 0.0000], [0.0000, 0.5000, 0.5000], [0.5669, 0.7834, 0.3503], [0.4331, 0.2166, 0.6497], [0.4986, 0.2493, 0.3005], [0.9489, 0.1981, 0.6995], [0.5014, 0.7507, 0.6995], [0.9489, 0.7507, 0.6995], [0.0511, 0.2493, 0.3005], [0.0511, 0.8019, 0.3005]]
}

---

Entry 3:
{
  "formula": "Tb3Pm3Sm5",
  "functional": "PBE",
  "state": "relaxed",
  "sg": "P-62m",
  "de_polymorph_ev_per_fu": 4.70,
  "formation_energy_ev_per_atom": 0.754,
  "e_tot_ev_per_atom": -3.949,
  "lattice_angstrom": [[5.5367, 0.0000, 0.0000], [0.0000, 9.7437, 0.0000], [0.0000, -4.8718, 8.4383]],
  "species": ["Tb", "Tb", "Tb", "Pm", "Pm", "Pm", "Sm", "Sm", "Sm", "Sm", "Sm"],
  "frac_coords": [[0.5000, 0.6326, 0.6326], [0.5000, 0.0000, 0.3674], [0.5000, 0.3674, 0.0000], [0.0000, 0.4267, 0.4267], [0.0000, 0.5733, 0.0000], [0.0000, 0.0000, 0.5733], [0.5000, 0.3333, 0.6667], [0.5000, 0.6667, 0.3333], [0.5000, 0.2685, 0.2685], [0.5000, 0.0000, 0.7315], [0.5000, 0.7315, 0.0000]]
}

---

Entry 4:
{
  "formula": "Tb8PmSm5",
  "functional": "PBE",
  "state": "relaxed",
  "sg": "C2/m",
  "formation_energy_ev_per_atom": 0.073,
  "e_tot_ev_per_atom": -4.598,
  "lattice_angstrom": [[-6.6178, -2.3173, -9.7716], [-3.4970, -1.8727, -11.3540], [0.4979, -11.4052, -2.2227]],
  "species": ["Tb", "Tb", "Tb", "Tb", "Tb", "Tb", "Tb", "Tb", "Pm", "Sm", "Sm", "Sm", "Sm", "Sm"],
  "frac_coords": [[0.2825, 0.2825, 0.8406], [0.7174, 0.7174, 0.1594], [0.1381, 0.1381, 0.4496], [0.8619, 0.8619, 0.5504], [0.0769, 0.0769, 0.2202], [0.9231, 0.9231, 0.7798], [0.4405, 0.4405, 0.2714], [0.5595, 0.5595, 0.7286], [0.5000, 0.5000, 0.5000], [0.2887, 0.2887, 0.3685], [0.7113, 0.7113, 0.6315], [0.3607, 0.3607, 0.0542], [0.6392, 0.6392, 0.9458], [0.0000, 0.0000, 0.0000]]
}